The following is a PBE calculation of a geometry-optimized CePmTlBi structure, from the Alexandria database.

Cell and atoms, written as CIF:
```
data_CePmTlBi
_space_group_name_H-M_alt 'F -4 3 m'
_space_group_IT_number 216
_space_group_name_Hall 'F -4 2 3'
_cell_length_a 7.8410
_cell_length_b 7.8410
_cell_length_c 7.8410
_cell_angle_alpha 90.00
_cell_angle_beta 90.00
_cell_angle_gamma 90.00
loop_
_atom_site_label
_atom_site_type_symbol
_atom_site_fract_x
_atom_site_fract_y
_atom_site_fract_z
_atom_site_occupancy
Ce1 Ce 0.0000 0.0000 0.0000 1
Pm1 Pm 0.0000 0.0000 0.5000 1
Tl1 Tl 0.2500 0.2500 0.7500 1
Bi1 Bi 0.2500 0.2500 0.2500 1
```

* total moment: 1.8 μB/f.u.
* formation energy from the elements: -0.427 eV/atom
* ρ: 9.62 g/cm³

***

The following is a PBE calculation of a geometry-optimized CePm2TmBi4 structure, from the Alexandria database.

Cell and atoms, written as CIF:
```
data_CePm2TmBi4
_space_group_name_H-M_alt 'P 1 2/m 1'
_space_group_IT_number 10
_cell_length_a 7.8670
_cell_length_b 4.5521
_cell_length_c 7.8845
_cell_angle_alpha 90.00
_cell_angle_beta 109.44
_cell_angle_gamma 90.00
loop_
_space_group_symop_operation_xyz
'x,y,z'
'-x,-y,-z'
'-x,y,-z'
'x,-y,z'
loop_
_atom_site_label
_atom_site_type_symbol
_atom_site_fract_x
_atom_site_fract_y
_atom_site_fract_z
_atom_site_occupancy
Ce1 Ce 0.0000 0.0000 0.0000 1
Pm1 Pm 0.0000 0.5000 0.5000 1
Pm2 Pm 0.5000 0.0000 0.5000 1
Tm1 Tm 0.5000 0.5000 0.0000 1
Bi1 Bi 0.2529 0.5000 0.2462 1
Bi2 Bi 0.2563 0.0000 0.7572 1
```

* total moment: 0.8 μB/f.u.
* formation energy from the elements: -0.860 eV/atom
* ρ: 8.95 g/cm³

***

The following is a PBE calculation of a geometry-optimized Ce2PmTmBi5 structure, from the Alexandria database.

Cell and atoms, written as CIF:
```
data_Ce2PmTmBi5
_space_group_name_H-M_alt 'P 4/m m m'
_space_group_IT_number 123
_space_group_name_Hall '-P 4 2'
_cell_length_a 5.4021
_cell_length_b 5.4021
_cell_length_c 11.9659
_cell_angle_alpha 90.00
_cell_angle_beta 90.00
_cell_angle_gamma 90.00
loop_
_atom_site_label
_atom_site_type_symbol
_atom_site_fract_x
_atom_site_fract_y
_atom_site_fract_z
_atom_site_occupancy
Ce1 Ce 0.0000 0.0000 0.2183 1
Pm1 Pm 0.5000 0.5000 0.5000 1
Tm1 Tm 0.5000 0.5000 0.0000 1
Bi1 Bi 0.0000 0.0000 0.5000 1
Bi2 Bi 0.0000 0.5000 0.0000 1
Bi3 Bi 0.5000 0.5000 0.2497 1
```

* total moment: 1.9 μB/f.u.
* formation energy from the elements: -0.154 eV/atom
* ρ: 7.79 g/cm³